Computed, not measured: a relaxed structure of PmTmGe at the PBE level of DFT.

a = 4.9190 Å, b = 4.9190 Å, c = 4.9190 Å
α = 60.00°, β = 60.00°, γ = 60.00°
With the nearest neighbours (Å) after each atom.
Sites, in units of the cell vectors:
Tm 0.5000 0.5000 0.5000  4 Ge 3.01
Ge 0.2500 0.2500 0.2500  4 Tm 3.01, 4 Pm 3.01
Pm 0.0000 0.0000 0.0000  4 Ge 3.01

Values from the calculation:
Energy of formation, eV per formula unit: -1.553
Calculated total energy, Ry per atom: -0.37712
Density, Mg/m³: 7.627
M_tot, μB/f.u.: 0.00
Distance to the lowest polymorph of the same formula, eV/atom: 0.091